Record 1
This record from the Alexandria database describes La5PrEr2 after structural relaxation. The functional is PBE.

Cell lengths 9.0560, 9.0560, 9.0560 Å; angles 156.80, 101.77, 82.93 degrees
Last column: nearest neighbours and their distance in Å.
Atoms (fractional coordinates):
La: 0.0000 0.0000 0.0000  2 Er 3.50, 10 La 3.64-3.66
La: 0.0991 0.3691 0.7300  3 Er 3.43-3.63, 7 La 3.55-3.74
La: 0.3609 0.6309 0.7300  3 Er 3.43-3.63, 7 La 3.55-3.74
La: 0.6391 0.3691 0.2700  3 Er 3.43-3.63, 7 La 3.55-3.74
La: 0.9009 0.6309 0.2700  3 Er 3.43-3.63, 7 La 3.55-3.74
Pr: 0.5000 0.0000 0.5000  2 Pr 3.64, 4 Er 3.76, 8 La 4.00
Er: 0.2579 0.2579 0.0000  7 La 3.43-3.63, 2 Er 3.64, 2 Pr 3.76
Er: 0.7421 0.7421 0.0000  7 La 3.43-3.63, 2 Er 3.64, 2 Pr 3.76

Properties
ΔE_f	0.03	eV/atom
calculated total energy	-38.29	eV per formula unit



Record 2
This record from the Alexandria database describes AlCuNi5 after structural relaxation. The functional is PBE.

Cell lengths 3.5488, 3.5488, 6.8154 Å; angles 90.00, 90.00, 90.00 degrees
Last column: nearest neighbours and their distance in Å.
Atoms (fractional coordinates):
Al: 0.0000 0.0000 0.0000  12 Ni 2.50-2.51
Cu: 0.5000 0.5000 0.5000  8 Ni 2.42
Ni: 0.0000 0.5000 0.2578  2 Cu 2.42, 2 Al 2.50, 6 Ni 2.50-2.51
Ni: 0.0000 0.5000 0.7422  2 Cu 2.42, 2 Al 2.50, 6 Ni 2.50-2.51
Ni: 0.5000 0.0000 0.2578  2 Cu 2.42, 2 Al 2.50, 6 Ni 2.50-2.51
Ni: 0.5000 0.0000 0.7422  2 Cu 2.42, 2 Al 2.50, 6 Ni 2.50-2.51
Ni: 0.5000 0.5000 0.0000  8 Ni 2.50, 4 Al 2.51

Properties
ΔE_f	-0.01	eV/atom
calculated total energy	-36.81	eV per formula unit



Record 3
This record from the Alexandria database describes Pm8HC3Se4 after structural relaxation. The functional is PBE.

Cell lengths 8.0932, 8.0932, 8.0932 Å; angles 57.83, 57.83, 57.83 degrees
Last column: nearest neighbours and their distance in Å.
Atoms (fractional coordinates):
Pm: 0.2220 0.7457 0.7457  2 C 2.63, 1 H 2.77, 1 Se 2.89
Pm: 0.2360 0.2360 0.2360  3 C 2.66
Pm: 0.2543 0.2543 0.7780  2 C 2.63, 1 H 2.77, 1 Se 2.89
Pm: 0.2543 0.7780 0.2543  2 C 2.63, 1 H 2.77, 1 Se 2.89
Pm: 0.7457 0.2220 0.7457  2 C 2.63, 1 H 2.77, 1 Se 2.89
Pm: 0.7457 0.7457 0.2220  2 C 2.63, 1 H 2.77, 1 Se 2.89
Pm: 0.7640 0.7640 0.7640  3 C 2.66
Pm: 0.7780 0.2543 0.2543  2 C 2.63, 1 H 2.77, 1 Se 2.89
H: 0.5000 0.5000 0.5000  6 Pm 2.77
C: 0.0000 0.0000 0.5000  6 Pm 2.63-2.66
C: 0.0000 0.5000 0.0000  6 Pm 2.63-2.66
C: 0.5000 0.0000 0.0000  6 Pm 2.63-2.66
Se: 0.0000 0.0000 0.0000  6 Pm 2.89
Se: 0.0000 0.5000 0.5000  6 Pm 2.99-3.01
Se: 0.5000 0.0000 0.5000  6 Pm 2.99-3.01
Se: 0.5000 0.5000 0.0000  6 Pm 2.99-3.01

Properties
calculated total energy	-99.92	eV per formula unit



Record 4
This record from the Alexandria database describes ScAl2Zn after structural relaxation. The functional is PBE.

Cell lengths 3.0576, 4.4715, 5.3590 Å; angles 90.00, 90.00, 90.00 degrees
Last column: nearest neighbours and their distance in Å.
Atoms (fractional coordinates):
Sc: 0.0000 0.0000 0.0000  8 Al 2.98-3.10, 4 Zn 3.01, 2 Sc 3.06
Al: 0.5000 0.0000 0.5040  2 Zn 2.61, 2 Al 2.66
Al: 0.5000 0.5000 0.2337  2 Zn 2.56-2.79, 2 Al 2.66
Zn: 0.5000 0.5000 0.7551  4 Al 2.56-2.79

Properties
ΔE_f	-0.25	eV/atom
calculated total energy	-16.08	eV per formula unit



Record 5
This record from the Alexandria database describes Ce4C3 after structural relaxation. The functional is PBE.

Cell lengths 12.7833, 12.7833, 12.7833 Å; angles 16.10, 16.10, 16.10 degrees
Last column: nearest neighbours and their distance in Å.
Atoms (fractional coordinates):
Ce: 0.1267 0.1267 0.1267  6 C 2.56-2.69
Ce: 0.2851 0.2851 0.2851  3 C 2.41
Ce: 0.7149 0.7149 0.7149  3 C 2.41
Ce: 0.8733 0.8733 0.8733  6 C 2.56-2.69
C: 0.4143 0.4143 0.4143  6 Ce 2.41-2.69
C: 0.5000 0.5000 0.5000  6 Ce 2.56
C: 0.5857 0.5857 0.5857  6 Ce 2.41-2.69

Properties
ΔE_f	-0.13	eV/atom
calculated total energy	-52.34	eV per formula unit



Record 6
This record from the Alexandria database describes VMo2PtC after structural relaxation. The functional is PBE.

Cell lengths 4.1241, 4.1241, 4.0024 Å; angles 90.00, 90.00, 90.00 degrees
Last column: nearest neighbours and their distance in Å.
Atoms (fractional coordinates):
V: 0.0000 0.0000 0.0000  2 C 2.00
Mo: 0.0000 0.5000 0.5000  2 C 2.06
Mo: 0.5000 0.0000 0.5000  2 C 2.06
Pt: 0.5000 0.5000 0.0000  8 Mo 2.87, 4 V 2.92
C: 0.0000 0.0000 0.5000  2 V 2.00, 4 Mo 2.06

Properties
ΔE_f	-0.18	eV/atom
calculated total energy	-46.96	eV per formula unit



Record 7
This record from the Alexandria database describes Pr2Sn3Pd5 after structural relaxation. The functional is PBE.

Cell lengths 13.0111, 13.0111, 7.2260 Å; angles 90.00, 90.00, 159.83 degrees
Last column: nearest neighbours and their distance in Å.
Atoms (fractional coordinates):
Pr: 0.0203 0.9797 0.5000  7 Pd 3.12-3.37, 6 Sn 3.17-3.45
Pr: 0.3201 0.6799 0.5277  4 Pd 2.96-3.31, 2 Sn 3.18
Pr: 0.6799 0.3201 0.0277  4 Pd 2.96-3.31, 2 Sn 3.18
Pr: 0.9797 0.0203 0.0000  7 Pd 3.12-3.37, 6 Sn 3.17-3.45
Sn: 0.1045 0.8955 0.1792  4 Pd 2.76-3.00
Sn: 0.2843 0.7157 0.0827  6 Pd 2.64-2.81
Sn: 0.4391 0.5609 0.3059  5 Pd 2.72-2.81
Sn: 0.5609 0.4391 0.8059  5 Pd 2.72-2.81
Sn: 0.7157 0.2843 0.5827  6 Pd 2.64-2.81
Sn: 0.8955 0.1045 0.6792  4 Pd 2.76-3.00
Pd: 0.1179 0.8821 0.7670  3 Sn 2.72-3.00, 1 Pd 2.82
Pd: 0.1995 0.8005 0.3628  4 Sn 2.77-2.97, 3 Pd 3.01-3.06
Pd: 0.2278 0.7722 0.7747  3 Sn 2.66-2.69, 1 Pd 2.82, 1 Pr 2.96
Pd: 0.3829 0.6171 0.9765  2 Sn 2.64-2.78, 1 Pd 2.80
Pd: 0.4562 0.5438 0.6889  4 Sn 2.76-2.81, 1 Pd 2.80
Pd: 0.5438 0.4562 0.1889  4 Sn 2.76-2.81, 1 Pd 2.80
Pd: 0.6171 0.3829 0.4765  2 Sn 2.64-2.78, 1 Pd 2.80
Pd: 0.7722 0.2278 0.2747  3 Sn 2.66-2.69, 1 Pd 2.82, 1 Pr 2.96
Pd: 0.8005 0.1995 0.8628  4 Sn 2.77-2.97, 3 Pd 3.01-3.06
Pd: 0.8821 0.1179 0.2670  3 Sn 2.72-3.00, 1 Pd 2.82

Properties
ΔE_f	-0.73	eV/atom
calculated total energy	-54.80	eV per formula unit



Record 8
This record from the Alexandria database describes Tm8Ga3Te4P after structural relaxation. The functional is PBE.

Cell lengths 8.5900, 8.5900, 8.5900 Å; angles 57.27, 57.27, 57.27 degrees
Last column: nearest neighbours and their distance in Å.
Atoms (fractional coordinates):
Tm: 0.2439 0.2439 0.2439  3 Ga 2.90, 3 Te 3.06
Tm: 0.2453 0.7374 0.7374  1 P 2.82, 2 Ga 2.87, 3 Te 3.09-3.14
Tm: 0.2626 0.2626 0.7547  1 P 2.82, 2 Ga 2.87, 3 Te 3.09-3.14
Tm: 0.2626 0.7547 0.2626  1 P 2.82, 2 Ga 2.87, 3 Te 3.09-3.14
Tm: 0.7374 0.2453 0.7374  1 P 2.82, 2 Ga 2.87, 3 Te 3.09-3.14
Tm: 0.7374 0.7374 0.2453  1 P 2.82, 2 Ga 2.87, 3 Te 3.09-3.14
Tm: 0.7547 0.2626 0.2626  1 P 2.82, 2 Ga 2.87, 3 Te 3.09-3.14
Tm: 0.7561 0.7561 0.7561  3 Ga 2.90, 3 Te 3.06
Ga: 0.0000 0.0000 0.5000  6 Tm 2.87-2.90
Ga: 0.0000 0.5000 0.0000  6 Tm 2.87-2.90
Ga: 0.5000 0.0000 0.0000  6 Tm 2.87-2.90
Te: 0.0000 0.0000 0.0000  6 Tm 3.14
Te: 0.0000 0.5000 0.5000  6 Tm 3.06-3.09
Te: 0.5000 0.0000 0.5000  6 Tm 3.06-3.09
Te: 0.5000 0.5000 0.0000  6 Tm 3.06-3.09
P: 0.5000 0.5000 0.5000  6 Tm 2.82

Properties
ΔE_f (raw)	-1022	meV/atom
calculated total energy	-79.18	eV per formula unit



Record 9
This record from the Alexandria database describes LaPr4Sm2Er after structural relaxation. The functional is PBE.

Cell lengths 6.3348, 3.6893, 12.1723 Å; angles 90.00, 100.22, 90.00 degrees
Last column: nearest neighbours and their distance in Å.
Atoms (fractional coordinates):
La: 0.0000 0.0000 0.0000  6 Pr 3.66-3.69, 4 Er 3.67, 2 La 3.69
Pr: 0.2503 0.0000 0.7512  2 Er 3.66, 6 Pr 3.66-3.69, 1 La 3.66, 3 Sm 3.68
Pr: 0.2522 0.5000 0.2516  3 Sm 3.65-3.66, 6 Pr 3.66-3.69, 1 Er 3.68, 2 La 3.69
Pr: 0.7478 0.5000 0.7484  3 Sm 3.65-3.66, 6 Pr 3.66-3.69, 1 Er 3.68, 2 La 3.69
Pr: 0.7497 0.0000 0.2488  2 Er 3.66, 6 Pr 3.66-3.69, 1 La 3.66, 3 Sm 3.68
Sm: 0.0000 0.5000 0.5000  6 Pr 3.66-3.68, 6 Sm 3.67-3.69
Sm: 0.5000 0.0000 0.5000  6 Pr 3.65-3.68, 6 Sm 3.67-3.69
Er: 0.5000 0.5000 0.0000  6 Pr 3.66-3.68, 4 La 3.67, 2 Er 3.69

Properties
ΔE_f	0.02	eV/atom
calculated total energy	-37.92	eV per formula unit



Record 10
This record from the Alexandria database describes Cd2BiAs2 after structural relaxation. The functional is PBE.

Cell lengths 8.1431, 8.1431, 3.6697 Å; angles 90.00, 90.00, 90.00 degrees
Last column: nearest neighbours and their distance in Å.
Atoms (fractional coordinates):
Cd: 0.1303 0.3697 0.0000  6 As 2.87-3.13, 1 Cd 3.00
Cd: 0.3697 0.8697 0.0000  6 As 2.87-3.13, 1 Cd 3.00
Cd: 0.6303 0.1303 0.0000  6 As 2.87-3.13, 1 Cd 3.00
Cd: 0.8697 0.6303 0.0000  6 As 2.87-3.13, 1 Cd 3.00
Bi: 0.0000 0.0000 0.5000  4 As 3.00
Bi: 0.5000 0.5000 0.5000  4 As 3.00
As: 0.1781 0.6781 0.5000  6 Cd 2.87-3.13, 2 Bi 3.00
As: 0.3219 0.1781 0.5000  6 Cd 2.87-3.13, 2 Bi 3.00
As: 0.6781 0.8219 0.5000  6 Cd 2.87-3.13, 2 Bi 3.00
As: 0.8219 0.3219 0.5000  6 Cd 2.87-3.13, 2 Bi 3.00

Properties
ΔE_f	0.12	eV/atom
calculated total energy	-14.42	eV per formula unit



Record 11
This record from the Alexandria database describes BaHg2BiPb after structural relaxation. The functional is PBE.

Cell lengths 5.7983, 5.7983, 6.1898 Å; angles 90.00, 90.00, 90.00 degrees
Last column: nearest neighbours and their distance in Å.
Atoms (fractional coordinates):
Ba: 0.0000 0.0000 0.0000  4 Pb 4.10, 8 Hg 4.24
Hg: 0.0000 0.5000 0.5000  2 Bi 2.90
Hg: 0.5000 0.0000 0.5000  2 Bi 2.90
Bi: 0.5000 0.5000 0.5000  4 Hg 2.90, 2 Pb 3.09
Pb: 0.5000 0.5000 0.0000  2 Bi 3.09

Properties
ΔE_f	-0.02	eV/atom
calculated total energy	-10.23	eV per formula unit